Computed, not measured: a relaxed TcSnP crystal at the PBE level of DFT.

Output
- magnetic moment (μB per cell) = 0.00
- N(E_F) (states/eV/atom) = 0.23
- symmetry = P3m1 (156)
- formation energy (eV per atom) = -0.17
- offset from the most stable computed form (meV/atom) = 110

Cell: 3.3745 3.3745 5.8015 Å, 90.00 90.00 120.00°
Last column: nearest neighbours and their distance in Å.
Fractional coordinates of all 3 atoms:
Tc (0.6667, 0.3333, 0.9209)  3 P 2.35
Sn (0.0000, 0.0000, 0.5869)  1 P 2.55, 3 Tc 2.75
P (0.0000, 0.0000, 0.1475)  3 Tc 2.35, 1 Sn 2.55

---

Computed, not measured: a relaxed BaPmNd2Hg4 crystal at the PBE level of DFT.

Output
- magnetic moment (μB per cell) = 0.53
- N(E_F) (states/eV/atom) = 0.92
- symmetry = R-3m (166)
- formation energy (eV per atom) = -0.44

Cell: 5.5107 5.5107 9.7090 Å, 73.51 73.51 60.00°
Last column: nearest neighbours and their distance in Å.
Fractional coordinates of all 8 atoms:
Ba (0.0000, 0.0000, 0.0000)  8 Hg 3.47-3.56
Pm (0.5000, 0.5000, 0.5000)  8 Hg 3.21-3.34
Nd (0.7523, 0.7523, 0.7432)  7 Hg 3.25-3.40
Nd (0.2477, 0.2477, 0.2568)  7 Hg 3.25-3.40
Hg (0.3834, 0.3834, 0.8497)  1 Pm 3.21, 3 Nd 3.33, 3 Ba 3.47
Hg (0.8705, 0.8705, 0.3884)  4 Nd 3.25-3.40, 3 Pm 3.34, 1 Ba 3.56
Hg (0.1295, 0.1295, 0.6116)  4 Nd 3.25-3.40, 3 Pm 3.34, 1 Ba 3.56
Hg (0.6166, 0.6166, 0.1503)  1 Pm 3.21, 3 Nd 3.33, 3 Ba 3.47

---

Computed, not measured: a relaxed Ho4CdNiRu2 crystal at the PBE level of DFT.

Output
- magnetic moment (μB per cell) = 0.00
- N(E_F) (states/eV/atom) = 0.47
- symmetry = R-3m (166)
- formation energy (eV per atom) = -0.37

Cell: 4.8892 4.8892 8.4884 Å, 73.26 73.26 60.00°
Last column: nearest neighbours and their distance in Å.
Fractional coordinates of all 8 atoms:
Ho (0.3813, 0.3813, 0.8560)  1 Ni 2.85, 4 Ru 2.94-3.14, 3 Cd 3.05
Ho (0.8704, 0.8704, 0.3887)  4 Ru 2.91-3.04, 3 Ni 2.96, 1 Cd 3.11
Ho (0.1296, 0.1296, 0.6113)  4 Ru 2.91-3.04, 3 Ni 2.96, 1 Cd 3.11
Ho (0.6187, 0.6187, 0.1440)  1 Ni 2.85, 4 Ru 2.94-3.14, 3 Cd 3.05
Cd (0.0000, 0.0000, 0.0000)  8 Ho 3.05-3.11
Ni (0.5000, 0.5000, 0.5000)  8 Ho 2.85-2.96
Ru (0.7494, 0.7494, 0.7517)  8 Ho 2.91-3.14
Ru (0.2506, 0.2506, 0.2483)  8 Ho 2.91-3.14

---

Computed, not measured: a relaxed LiSc2Zn crystal at the PBE level of DFT.

Output
- magnetic moment (μB per cell) = 0.00
- N(E_F) (states/eV/atom) = 1.01
- symmetry = P4/mmm (123)
- formation energy (eV per atom) = -0.12

Cell: 3.4417 4.7561 4.7561 Å, 90.00 90.00 90.00°
Last column: nearest neighbours and their distance in Å.
Fractional coordinates of all 4 atoms:
Sc (0.0000, 0.0000, 0.5000)  4 Li 2.94, 4 Zn 2.94
Sc (0.0000, 0.5000, 0.0000)  4 Li 2.94, 4 Zn 2.94
Zn (0.5000, 0.0000, 0.0000)  8 Sc 2.94
Li (0.5000, 0.5000, 0.5000)  8 Sc 2.94

---

Computed, not measured: a relaxed Pm6CuI8 crystal at the PBE level of DFT.

Output
- magnetic moment (μB per cell) = 0.00
- N(E_F) (states/eV/atom) = 0.44
- symmetry = R-3 (148)
- raw formation energy (meV per atom) = -1041

Cell: 7.6582 7.6582 12.2816 Å, 71.83 71.83 60.00°
Last column: nearest neighbours and their distance in Å.
Fractional coordinates of all 15 atoms:
Pm (0.9506, 0.6545, 0.1479)  1 Cu 2.83
Pm (0.7530, 0.0494, 0.8521)  1 Cu 2.83
Pm (0.3455, 0.7530, 0.8521)  1 Cu 2.83
Pm (0.6545, 0.2470, 0.1479)  1 Cu 2.83
Pm (0.2470, 0.9506, 0.1479)  1 Cu 2.83
Pm (0.0494, 0.3455, 0.8521)  1 Cu 2.83
Cu (0.0000, 0.0000, 0.0000)  6 Pm 2.83
I (0.7563, 0.4567, 0.6807)  3 Pm 3.18-3.35
I (0.8937, 0.2437, 0.3193)  3 Pm 3.18-3.35
I (0.5433, 0.8937, 0.3193)  3 Pm 3.18-3.35
I (0.3333, 0.3333, 0.0001)  6 Pm 3.19
I (0.6667, 0.6667, 0.9999)  6 Pm 3.19
I (0.4567, 0.1063, 0.6807)  3 Pm 3.18-3.35
I (0.1063, 0.7563, 0.6807)  3 Pm 3.18-3.35
I (0.2437, 0.5433, 0.3193)  3 Pm 3.18-3.35

---

Computed, not measured: a relaxed RbZr2SnI crystal at the PBE level of DFT.

Output
- magnetic moment (μB per cell) = 3.51
- N(E_F) (states/eV/atom) = 1.32
- symmetry = P4/mmm (123)
- raw formation energy (meV per atom) = 601

Cell: 5.5159 6.9856 5.5159 Å, 90.00 90.00 90.00°
Last column: nearest neighbours and their distance in Å.
Fractional coordinates of all 5 atoms:
I (0.5000, 0.5000, 0.5000)  4 Rb 3.90
Rb (0.0000, 0.5000, 0.0000)  2 Sn 3.49, 4 I 3.90
Sn (0.0000, 0.0000, 0.0000)  4 Zr 2.76
Zr (0.0000, 0.0000, 0.5000)  2 Sn 2.76
Zr (0.5000, 0.0000, 0.0000)  2 Sn 2.76

---

Computed, not measured: a relaxed CuIrRu2 crystal at the PBE level of DFT.

Output
- magnetic moment (μB per cell) = 1.50
- N(E_F) (states/eV/atom) = 1.33
- symmetry = P4/mmm (123)
- formation energy (eV per atom) = 0.30
- offset from the most stable computed form (meV/atom) = 168

Cell: 3.8457 3.7927 3.7927 Å, 90.00 90.00 90.00°
Last column: nearest neighbours and their distance in Å.
Fractional coordinates of all 4 atoms:
Cu (0.5000, 0.5000, 0.0000)  4 Ir 2.68, 8 Ru 2.70
Ir (0.5000, 0.0000, 0.5000)  4 Cu 2.68, 8 Ru 2.70
Ru (0.0000, 0.0000, 0.0000)  4 Ru 2.68, 4 Ir 2.70, 4 Cu 2.70
Ru (0.0000, 0.5000, 0.5000)  4 Ru 2.68, 4 Ir 2.70, 4 Cu 2.70

---

Computed, not measured: a relaxed Hf6HN crystal at the PBE level of DFT.

Output
- magnetic moment (μB per cell) = 0.00
- N(E_F) (states/eV/atom) = 0.58
- symmetry = P-31c (163)
- offset from the most stable computed form (meV/atom) = 4

Cell: 5.5854 5.5854 10.2893 Å, 90.00 90.00 120.00°
Last column: nearest neighbours and their distance in Å.
Fractional coordinates of all 16 atoms:
Hf (0.3360, 0.3431, 0.3780)  1 N 2.24, 1 H 2.27
Hf (0.6640, 0.6569, 0.6220)  1 N 2.24, 1 H 2.27
Hf (0.0070, 0.6640, 0.3780)  1 N 2.24, 1 H 2.27
Hf (0.3360, 0.9930, 0.1220)  1 N 2.24, 1 H 2.27
Hf (0.9930, 0.3360, 0.6220)  1 N 2.24, 1 H 2.27
Hf (0.6640, 0.0070, 0.8780)  1 N 2.24, 1 H 2.27
Hf (0.6569, 0.9930, 0.3780)  1 N 2.24, 1 H 2.27
Hf (0.0070, 0.3431, 0.1220)  1 N 2.24, 1 H 2.27
Hf (0.3431, 0.0070, 0.6220)  1 N 2.24, 1 H 2.27
Hf (0.9930, 0.6569, 0.8780)  1 N 2.24, 1 H 2.27
Hf (0.6569, 0.6640, 0.1220)  1 N 2.24, 1 H 2.27
Hf (0.3431, 0.3360, 0.8780)  1 N 2.24, 1 H 2.27
H (0.0000, 0.0000, 0.5000)  6 Hf 2.27
H (0.0000, 0.0000, 0.0000)  6 Hf 2.27
N (0.3333, 0.6667, 0.2500)  6 Hf 2.24
N (0.6667, 0.3333, 0.7500)  6 Hf 2.24

---

Computed, not measured: a relaxed Ac2CeSc crystal at the PBE level of DFT.

Output
- magnetic moment (μB per cell) = 2.10
- N(E_F) (states/eV/atom) = 3.21
- symmetry = Fm-3m (225)
- formation energy (eV per atom) = 0.23
- offset from the most stable computed form (meV/atom) = 80

Cell: 5.8732 5.8732 5.8732 Å, 60.00 60.00 60.00°
Last column: nearest neighbours and their distance in Å.
Fractional coordinates of all 4 atoms:
Sc (0.5000, 0.5000, 0.5000)  8 Ac 3.60
Ac (0.2500, 0.2500, 0.2500)  4 Ce 3.60, 4 Sc 3.60
Ac (0.7500, 0.7500, 0.7500)  4 Sc 3.60, 4 Ce 3.60
Ce (0.0000, 0.0000, 0.0000)  8 Ac 3.60

---

Computed, not measured: a relaxed Sc6Tl2Ir crystal at the PBE level of DFT.

Output
- magnetic moment (μB per cell) = 0.00
- N(E_F) (states/eV/atom) = 1.12
- symmetry = P-62m (189)
- formation energy (eV per atom) = -0.44
- offset from the most stable computed form (meV/atom) = 0

Cell: 3.6301 8.0973 8.0968 Å, 120.00 90.00 90.00°
Last column: nearest neighbours and their distance in Å.
Fractional coordinates of all 9 atoms:
Sc (0.5000, 0.6191, 0.0000)  1 Ir 3.09, 4 Tl 3.11, 4 Sc 3.26
Sc (0.5000, 0.3806, 0.3806)  1 Ir 3.08, 4 Tl 3.11, 4 Sc 3.26
Sc (0.5000, 0.0000, 0.6194)  1 Ir 3.08, 4 Tl 3.11, 4 Sc 3.26
Sc (0.0000, 0.2449, 0.0000)  2 Ir 2.69
Sc (0.0000, 0.7553, 0.7554)  2 Ir 2.69
Sc (0.0000, 0.9999, 0.2446)  2 Ir 2.69
Tl (0.0000, 0.3333, 0.6666)  9 Sc 3.11-3.12
Tl (0.0000, 0.6667, 0.3334)  9 Sc 3.11-3.12
Ir (0.5000, 0.0003, 0.0000)  6 Sc 2.69

---

Computed, not measured: a relaxed Zr2MnAg2 crystal at the PBE level of DFT.

Output
- magnetic moment (μB per cell) = 0.00
- N(E_F) (states/eV/atom) = 1.28
- symmetry = I4/mmm (139)
- formation energy (eV per atom) = 0.48
- offset from the most stable computed form (meV/atom) = 50

Cell: 3.5332 3.5332 8.5228 Å, 78.04 78.04 90.00°
Last column: nearest neighbours and their distance in Å.
Fractional coordinates of all 5 atoms:
Mn (0.0000, 0.0000, 0.0000)  8 Zr 2.89
Zr (0.4104, 0.4104, 0.1791)  4 Mn 2.89, 1 Zr 2.92, 4 Ag 3.16
Zr (0.5896, 0.5896, 0.8209)  4 Mn 2.89, 1 Zr 2.92, 4 Ag 3.16
Ag (0.7500, 0.2500, 0.5000)  4 Ag 2.50
Ag (0.2500, 0.7500, 0.5000)  4 Ag 2.50

---

Computed, not measured: a relaxed YBiN2F crystal at the PBE level of DFT.

Output
- magnetic moment (μB per cell) = 0.00
- N(E_F) (states/eV/atom) = 0.23
- symmetry = P4/mmm (123)
- offset from the most stable computed form (meV/atom) = 264
- raw formation energy (meV per atom) = -157

Cell: 4.4398 4.4398 4.2776 Å, 90.00 90.00 90.00°
Last column: nearest neighbours and their distance in Å.
Fractional coordinates of all 5 atoms:
Y (0.5000, 0.5000, 0.5000)  8 N 3.08, 4 F 3.14
N (0.0000, 0.5000, 0.0000)  2 Bi 2.22
N (0.5000, 0.0000, 0.0000)  2 Bi 2.22
Bi (0.0000, 0.0000, 0.0000)  2 F 2.14, 4 N 2.22
F (0.0000, 0.0000, 0.5000)  2 Bi 2.14